No. 1
Material: AlFe
Method: DFT, PBE-GGA
State: relaxed

Geometry as POSCAR:
```
AlFe
1.0
-2.638 0.647 1.274
1.152 -0.621 2.700
1.611 5.453 0.566
Fe Al
2 2
Direct
0.250 0.250 0.616
0.750 0.750 0.384
0.250 0.250 0.155
0.750 0.750 0.845
```

Output
Space group: P4/nmm, No. 129
Total magnetization: 3.6 Bohr magnetons per cell
Energy: -6.320 eV per atom

---

No. 2
Material: Al3Fe4
Method: DFT, PBE-GGA
State: relaxed

Geometry as POSCAR:
```
Al3Fe4
1.0
2.436 -4.219 0.000
2.436 4.219 0.000
0.000 0.000 4.511
Al Fe
3 4
Direct
0.000 0.500 0.000
0.500 0.500 0.000
0.500 0.000 0.000
0.000 0.000 0.254
0.000 0.000 0.746
0.667 0.333 0.500
0.333 0.667 0.500
```

Output
ΔE to the lowest computed polymorph: 28.38 kJ/mol of atoms
Space group: P6/mmm, No. 191
Total magnetization: 9.3 Bohr magnetons per cell
Energy: -6.368 eV per atom

---

No. 3
Material: Al2GaFe3
Method: DFT, PBE-GGA
State: relaxed

Geometry as POSCAR:
```
Al2GaFe3
1.0
-0.407 -1.717 2.277
-2.221 -1.253 -1.341
5.359 -5.825 -3.435
Al Ga Fe
2 1 3
Direct
0.500 0.500 0.836
0.500 0.500 0.164
0.500 0.500 0.500
0.000 0.000 0.000
0.000 0.000 0.666
0.000 0.000 0.334
```

Output
Space group: P4/mmm, No. 123
Total magnetization: 2.1 Bohr magnetons per cell
Energy: -6.224 eV per atom

---

No. 4
Material: AlGa2Fe2
Method: DFT, PBE-GGA
State: relaxed

Geometry as POSCAR:
```
AlGa2Fe2
1.0
6.768 0.000 0.000
0.000 6.768 0.000
0.000 0.000 2.826
Fe Ga Al
4 4 2
Direct
0.167 0.667 0.500
0.667 0.833 0.500
0.833 0.333 0.500
0.333 0.167 0.500
0.368 0.868 0.000
0.868 0.632 0.000
0.632 0.132 0.000
0.132 0.368 0.000
0.000 0.000 0.000
0.500 0.500 0.000
```

Output
ΔE to the lowest computed polymorph: 6.64 kJ/mol of atoms
Space group: P4/mbm, No. 127
Total magnetization: 3.8 Bohr magnetons per cell
Energy: -5.349 eV per atom

---

No. 5
Material: Al5GaFe6
Method: DFT, PBE-GGA
State: relaxed

Geometry as POSCAR:
```
Al5GaFe6
1.0
-2.756 -1.758 2.424
4.203 -2.781 2.763
1.868 5.524 2.719
Al Ga Fe
5 1 6
Direct
0.668 0.500 0.336
0.329 0.000 0.659
0.000 0.500 0.000
0.671 0.000 0.341
0.332 0.500 0.664
0.000 0.000 0.000
0.835 0.750 0.671
0.835 0.250 0.671
0.500 0.248 0.000
0.500 0.752 0.000
0.165 0.750 0.329
0.165 0.250 0.329
```

Output
Space group: Cmmm, No. 65
Total magnetization: 4.3 Bohr magnetons per cell
Energy: -6.328 eV per atom

---

No. 6
Material: AlGa2Fe5
Method: DFT, PBE-GGA
State: relaxed

Geometry as POSCAR:
```
AlGa2Fe5
1.0
0.105 0.035 -4.247
4.068 -1.223 0.091
-3.643 -4.590 1.997
Al Ga Fe
1 2 5
Direct
0.000 0.000 0.000
0.746 0.746 0.491
0.254 0.254 0.509
0.500 0.500 0.000
0.874 0.374 0.748
0.374 0.874 0.748
0.126 0.626 0.252
0.626 0.126 0.252
```

Output
Space group: I4/mmm, No. 139
Total magnetization: 9.4 Bohr magnetons per cell
Energy: -6.641 eV per atom

---

No. 7
Material: AlGaFe2
Method: DFT, PBE-GGA
State: relaxed

Geometry as POSCAR:
```
AlGaFe2
1.0
2.720 0.001 0.001
1.361 2.355 0.001
1.363 0.787 8.146
Al Ga Fe
1 1 2
Direct
0.500 0.500 0.500
0.667 0.667 0.000
0.083 0.083 0.748
0.250 0.250 0.252
```

Output
ΔE to the lowest computed polymorph: 8.23 kJ/mol of atoms
Space group: R3m, No. 160
Total magnetization: 4.1 Bohr magnetons per cell
Energy: -6.036 eV per atom

---

No. 8
Material: Al2GaFe8
Method: DFT, PBE-GGA
State: relaxed

Geometry as POSCAR:
```
Al2GaFe8
1.0
-2.132 2.099 3.101
0.333 -4.018 2.945
6.369 3.103 -0.717
Al Ga Fe
2 1 8
Direct
0.686 0.686 0.373
0.314 0.314 0.627
0.500 0.000 0.000
0.128 0.362 0.256
0.872 0.107 0.744
0.735 0.500 0.000
0.705 0.205 0.410
0.295 0.795 0.590
0.265 0.500 0.000
0.128 0.893 0.256
0.872 0.638 0.744
```

Output
Space group: Immm, No. 71
Total magnetization: 11.6 Bohr magnetons per cell
Energy: -7.064 eV per atom

---

no.,theoretical density (g/cm³),E_form (eV per atom)
1,5.35,-0.22
2,5.45,0.07
3,6.75,-0.24
4,7.13,0.00
5,6.28,-0.29
6,7.57,-0.13
7,6.64,-0.11
8,6.98,0.05